Record 1
{"formula": "NdInSn3", "functional": "PBE", "state": "optimized geometry", "cell": [[13.353, 0.000, 0.000], [0.000, 6.387, 0.000], [0.000, 0.000, 6.494]], "species": ["Nd", "Nd", "Nd", "Nd", "In", "In", "In", "In", "Sn", "Sn", "Sn", "Sn", "Sn", "Sn", "Sn", "Sn", "Sn", "Sn", "Sn", "Sn"], "frac_coords": [[0.191, 0.008, 0.250], [0.191, 0.492, 0.750], [0.809, 0.508, 0.250], [0.809, 0.992, 0.750], [0.384, 0.250, 0.000], [0.384, 0.250, 0.500], [0.616, 0.750, 0.000], [0.616, 0.750, 0.500], [0.001, 0.250, 0.000], [0.001, 0.250, 0.500], [0.215, 0.512, 0.250], [0.215, 0.988, 0.750], [0.417, 0.712, 0.750], [0.417, 0.788, 0.250], [0.583, 0.212, 0.750], [0.583, 0.288, 0.250], [0.785, 0.012, 0.250], [0.785, 0.488, 0.750], [0.999, 0.750, 0.000], [0.999, 0.750, 0.500]], "formation_enthalpy_0k_ev_per_atom": -0.3245, "crystal_system": "orthorhombic", "volume_a3_per_atom": 27.69, "polymorph_energy_ev_per_atom": 0.000}



Record 2
{"formula": "Nd5InSn2", "functional": "PBE", "state": "optimized geometry", "cell": [[-4.178, 4.178, 7.275], [4.178, -4.178, 7.275], [4.178, 4.178, -7.275]], "species": ["Nd", "Nd", "Nd", "Nd", "Nd", "Nd", "Nd", "Nd", "Nd", "Nd", "In", "In", "Sn", "Sn", "Sn", "Sn"], "frac_coords": [[0.000, 0.000, 0.000], [0.020, 0.520, 0.836], [0.184, 0.020, 0.500], [0.316, 0.816, 0.836], [0.480, 0.316, 0.500], [0.500, 0.500, 0.000], [0.520, 0.684, 0.500], [0.684, 0.184, 0.164], [0.816, 0.980, 0.500], [0.980, 0.480, 0.164], [0.250, 0.250, 0.000], [0.750, 0.750, 0.000], [0.132, 0.368, 0.500], [0.368, 0.868, 0.236], [0.632, 0.132, 0.764], [0.868, 0.632, 0.500]], "formation_enthalpy_0k_ev_per_atom": -0.5510, "crystal_system": "tetragonal", "volume_a3_per_atom": 31.76, "polymorph_energy_ev_per_atom": 0.000}



Record 3
{"formula": "NdIn4Sn", "functional": "PBE", "state": "optimized geometry", "cell": [[0.000, 4.330, 4.330], [4.330, 0.000, 4.330], [4.330, 4.330, 0.000]], "species": ["Nd", "In", "In", "In", "In", "Sn"], "frac_coords": [[0.000, 0.000, 0.000], [0.375, 0.375, 0.375], [0.375, 0.375, 0.875], [0.375, 0.875, 0.375], [0.875, 0.375, 0.375], [0.750, 0.750, 0.750]], "formation_enthalpy_0k_ev_per_atom": -0.1415, "crystal_system": "cubic", "volume_a3_per_atom": 27.06, "polymorph_energy_ev_per_atom": 0.000}